[1]
DFT (PBEsol) results for MnHPd3 after structural relaxation.

## Properties
crystal system: cubic
Fermi-level density of states: 0.46 states/eV per atom
symmetry: Pm-3m
uncorrected energy: -32.0 eV per cell

```
MnHPd3
1.0
3.911 0.000 0.000
0.000 3.911 0.000
0.000 0.000 3.911
Mn H Pd
1 1 3
Cartesian
0.000 0.000 0.000
1.955 1.955 1.955
0.000 1.955 1.955
1.955 0.000 1.955
1.955 1.955 0.000
```

---

[2]
DFT (PBEsol) results for BeAuCl2 after structural relaxation.

## Properties
crystal system: cubic
Fermi-level density of states: 0.34 states/eV per atom
symmetry: Fm-3m
uncorrected energy: -10.0 eV per cell
relative energy among the computed polymorphs: 1068 meV per atom
formation energy from raw total energies: 45.8 kJ per mole of atoms

```
BeAuCl2
1.0
0.000 3.234 3.234
3.234 0.000 3.234
3.234 3.234 0.000
Be Au Cl
1 1 2
Cartesian
0.000 0.000 0.000
3.234 3.234 3.234
1.617 1.617 1.617
4.851 4.851 4.851
```

---

[3]
DFT (PBEsol) results for Li3Al after structural relaxation.

## Properties
E_form: -10.8 kJ per mole of atoms
crystal system: orthorhombic
Fermi-level density of states: 0.26 states/eV per atom
symmetry: Cmcm
uncorrected energy: -20.9 eV per cell

```
Li3Al
1.0
3.585 -4.230 0.000
3.585 4.230 0.000
0.000 0.000 4.359
Li Al
6 2
Cartesian
1.627 1.010 3.269
3.585 2.743 3.269
1.627 -1.010 1.090
5.543 1.010 3.269
3.585 -2.743 1.090
5.543 -1.010 1.090
3.585 0.843 1.090
3.585 -0.843 3.269
```

---

[4]
DFT (PBEsol) results for MnFePt after structural relaxation.

## Properties
E_form: -4.9 kJ per mole of atoms
crystal system: hexagonal
Fermi-level density of states: 0.77 states/eV per atom
symmetry: P-6m2
uncorrected energy: -25.8 eV per cell

```
MnFePt
1.0
4.082 0.000 0.000
-2.041 3.535 0.000
0.000 0.000 2.602
Mn Fe Pt
1 1 1
Cartesian
0.000 0.000 0.000
0.000 2.357 0.000
2.041 1.178 1.301
```